# 1
A relaxed Pm4Sm5Tm crystal, computed with PBE.

Structure (POSCAR):
```
Pm4Sm5Tm
1.0
4.262 0.000 0.000
0.000 4.262 0.000
0.000 0.000 18.535
Pm Sm Tm
4 5 1
Cartesian
0.000 0.000 1.867 Pm
0.000 0.000 5.542 Pm
0.000 0.000 12.993 Pm
0.000 0.000 16.668 Pm
2.131 2.131 0.000 Sm
2.131 2.131 3.733 Sm
2.131 2.131 7.466 Sm
2.131 2.131 11.069 Sm
2.131 2.131 14.802 Sm
0.000 0.000 9.268 Tm
```

For the size of the total moment, the calculation gives 0.00 Bohr magnetons per cell. Its space-group type is P4/mmm. Its density is 7.40 g cm⁻³. The formation energy comes out at 0.11 eV/atom. For the energy above the most stable polymorph in this dataset, the calculation gives 0.000 eV/atom. Its volume is 337 Å³ per cell.

=====

# 2
A relaxed PmSm14Tm crystal, computed with PBE.

Structure (POSCAR):
```
PmSm14Tm
1.0
11.709 0.000 0.000
0.000 3.636 6.295
0.000 -3.636 6.295
Pm Sm Tm
1 14 1
Cartesian
0.000 0.000 0.000 Pm
0.000 -1.810 3.136 Sm
0.000 1.810 3.136 Sm
2.909 -1.813 5.244 Sm
2.909 1.813 5.244 Sm
2.904 0.000 8.386 Sm
2.941 0.000 2.094 Sm
5.854 0.000 4.200 Sm
5.854 -1.813 7.342 Sm
5.854 1.813 7.342 Sm
5.854 0.000 10.492 Sm
8.767 0.000 2.094 Sm
8.800 -1.813 5.244 Sm
8.800 1.813 5.244 Sm
8.805 0.000 8.386 Sm
0.000 0.000 6.287 Tm
```

For the size of the total moment, the calculation gives 0.00 Bohr magnetons per cell. Its space-group type is Amm2. Its density is 7.49 g cm⁻³. The formation energy comes out at 0.00 eV/atom. Its volume is 536 Å³ per cell.

=====

# 3
A relaxed PmSm8Tm3 crystal, computed with PBE.

Structure (POSCAR):
```
PmSm8Tm3
1.0
6.321 0.000 0.000
3.146 7.938 0.000
3.161 0.417 7.939
Pm Sm Tm
1 8 3
Cartesian
0.000 0.000 0.000 Pm
3.192 2.940 5.273 Sm
3.191 5.413 2.668 Sm
7.392 5.013 7.247 Sm
7.391 7.507 4.615 Sm
6.344 1.664 6.623 Sm
6.333 6.688 1.315 Sm
7.401 0.864 3.308 Sm
7.396 3.363 0.676 Sm
4.251 2.109 1.989 Tm
6.317 4.178 3.968 Tm
10.565 6.264 5.937 Tm
```

For the size of the total moment, the calculation gives 0.00 Bohr magnetons per cell. Its space-group type is P1. Its density is 7.73 g cm⁻³. The formation energy comes out at 0.02 eV/atom. Its volume is 398 Å³ per cell.

=====

# 4
A relaxed Pm3SmTm2 crystal, computed with PBE.

Structure (POSCAR):
```
Pm3SmTm2
1.0
6.261 0.000 0.000
-0.005 7.251 0.000
-1.059 -1.818 8.681
Pm Sm Tm
6 2 4
Cartesian
0.515 2.715 2.912 Pm
0.516 6.340 2.913 Pm
0.524 -0.909 8.642 Pm
4.673 6.342 0.039 Pm
4.682 -0.907 5.768 Pm
4.682 2.718 5.768 Pm
0.521 2.715 8.645 Sm
4.676 2.718 0.036 Sm
1.574 0.907 5.773 Tm
1.571 4.529 5.772 Tm
3.626 0.904 2.909 Tm
3.623 4.526 2.907 Tm
```

For the size of the total moment, the calculation gives 0.00 Bohr magnetons per cell. Its space-group type is P-1. Its density is 7.78 g cm⁻³. The formation energy comes out at 0.00 eV/atom. For the energy above the most stable polymorph in this dataset, the calculation gives 0.000 eV/atom. Its volume is 394 Å³ per cell.

=====

# 5
A relaxed Pm3Sm12Tm crystal, computed with PBE.

Structure (POSCAR):
```
Pm3Sm12Tm
1.0
5.122 0.000 0.000
0.000 5.122 0.000
0.000 0.000 20.478
Pm Sm Tm
3 12 1
Cartesian
0.000 0.000 0.000 Pm
0.000 0.000 5.142 Pm
0.000 0.000 15.336 Pm
0.000 2.561 2.570 Sm
0.000 2.561 7.716 Sm
0.000 2.561 12.761 Sm
0.000 2.561 17.908 Sm
2.561 0.000 2.570 Sm
2.561 0.000 7.716 Sm
2.561 0.000 12.761 Sm
2.561 0.000 17.908 Sm
2.561 2.561 0.000 Sm
2.561 2.561 5.151 Sm
2.561 2.561 10.239 Sm
2.561 2.561 15.327 Sm
0.000 0.000 10.239 Tm
```

For the size of the total moment, the calculation gives 0.00 Bohr magnetons per cell. Its space-group type is P4/mmm. Its density is 7.44 g cm⁻³. The formation energy comes out at 0.02 eV/atom. Its volume is 537 Å³ per cell.

=====

# 6
A relaxed Pm5Sm6Tm crystal, computed with PBE.

Structure (POSCAR):
```
Pm5Sm6Tm
1.0
3.141 -5.438 0.000
3.141 5.438 0.000
-2.098 0.000 11.847
Pm Sm Tm
5 6 1
Cartesian
0.000 0.000 0.000 Pm
2.092 3.625 5.923 Pm
3.141 1.811 0.000 Pm
3.141 -1.811 0.000 Pm
2.092 -3.625 5.923 Pm
1.051 1.806 2.979 Sm
0.003 0.000 8.871 Sm
1.051 -1.806 2.979 Sm
3.132 1.806 8.867 Sm
4.180 0.000 2.975 Sm
3.132 -1.806 8.867 Sm
2.092 0.000 5.923 Tm
```

For the size of the total moment, the calculation gives 0.00 Bohr magnetons per cell. Its space-group type is C2/m. Its density is 7.37 g cm⁻³. The formation energy comes out at 0.01 eV/atom. Its volume is 405 Å³ per cell.